## w
Here is an optimized crystal structure of Rb2HgO from the Alexandria database. Energies are from PBE-GGA.

a b c (Å): 8.5945 8.5945 8.0970
angles (deg): 90.00 90.00 90.00
Closest atoms and distances in Å follow each position.
Sites, in units of the cell vectors:
Rb: 0.1421 0.2500 0.1250  2 O 2.67
Rb: 0.2500 0.6421 0.3750  2 O 2.67
Rb: 0.2500 0.8579 0.8750  2 O 2.67
Rb: 0.3579 0.2500 0.6250  2 O 2.67
Rb: 0.6421 0.7500 0.6250  2 O 2.67
Rb: 0.7500 0.1421 0.8750  2 O 2.67
Rb: 0.7500 0.3579 0.3750  2 O 2.67
Rb: 0.8579 0.7500 0.1250  2 O 2.67
Hg: 0.0000 0.0000 0.5000  8 Rb 3.89-3.91, 2 O 4.05
Hg: 0.0000 0.5000 0.7500  8 Rb 3.89-3.91, 2 O 4.05
Hg: 0.5000 0.0000 0.2500  8 Rb 3.89-3.91, 2 O 4.05
Hg: 0.5000 0.5000 0.0000  8 Rb 3.89-3.91, 2 O 4.05
O: 0.0000 0.0000 0.0000  4 Rb 2.67
O: 0.0000 0.5000 0.2500  4 Rb 2.67
O: 0.5000 0.0000 0.7500  4 Rb 2.67
O: 0.5000 0.5000 0.5000  4 Rb 2.67


## x
Here is an optimized crystal structure of Rb2HgO from the Alexandria database. Energies are from PBE-GGA.

a b c (Å): 4.1768 4.1768 28.1141
angles (deg): 90.00 90.00 120.00
Closest atoms and distances in Å follow each position.
Sites, in units of the cell vectors:
Rb: 0.0000 0.0000 0.0000  3 O 2.78
Rb: 0.0000 0.0000 0.2353  3 O 2.78
Rb: 0.3333 0.6667 0.6667  3 O 2.78
Rb: 0.3333 0.6667 0.9020  3 O 2.78
Rb: 0.6667 0.3333 0.3333  3 O 2.78
Rb: 0.6667 0.3333 0.5686  3 O 2.78
Hg: 0.0000 0.0000 0.4517  6 Rb 4.08-4.11, 6 Hg 4.18
Hg: 0.3333 0.6667 0.1184  6 Rb 4.08-4.11, 6 Hg 4.18
Hg: 0.6667 0.3333 0.7850  6 Rb 4.08-4.11, 6 Hg 4.18
O: 0.0000 0.0000 0.6175  6 Rb 2.78
O: 0.3333 0.6667 0.2842  6 Rb 2.78
O: 0.6667 0.3333 0.9509  6 Rb 2.78


Most stable structure, least stable structure: x, w.


## w
Here is an optimized crystal structure of Rb3Hg2O4 from the Alexandria database. Energies are from PBE-GGA.

a b c (Å): 8.4241 8.4241 8.4241
angles (deg): 148.41 123.79 65.92
Closest atoms and distances in Å follow each position.
Sites, in units of the cell vectors:
Rb: 0.0000 0.0000 0.0000  4 Hg 3.31
Rb: 0.2810 0.7810 0.5000  6 O 2.98-3.11
Rb: 0.7190 0.2190 0.5000  6 O 2.98-3.11
Hg: 0.3008 0.5000 0.8008  2 O 1.98
Hg: 0.6992 0.5000 0.1992  2 O 1.98
O: 0.1384 0.3609 0.7775  1 Hg 1.98
O: 0.4165 0.6391 0.7775  1 Hg 1.98
O: 0.5835 0.3609 0.2225  1 Hg 1.98
O: 0.8616 0.6391 0.2225  1 Hg 1.98


## x
Here is an optimized crystal structure of Rb3Hg2O4 from the Alexandria database. Energies are from PBE-GGA.

a b c (Å): 8.5447 8.5447 7.5485
angles (deg): 113.38 113.38 70.35
Closest atoms and distances in Å follow each position.
Sites, in units of the cell vectors:
Rb: 0.0960 0.9040 0.7500  4 O 2.92-3.07
Rb: 0.2620 0.4412 0.7614  3 O 2.80-2.94
Rb: 0.4412 0.2620 0.2614  3 O 2.80-2.94
Rb: 0.5588 0.7380 0.7386  3 O 2.80-2.94
Rb: 0.7380 0.5588 0.2386  3 O 2.80-2.94
Rb: 0.9040 0.0960 0.2500  4 O 2.92-3.07
Hg: 0.1056 0.6458 0.2260  2 O 1.99-2.00
Hg: 0.3542 0.8944 0.2740  2 O 1.99-2.00
Hg: 0.6458 0.1056 0.7260  2 O 1.99-2.00
Hg: 0.8944 0.3542 0.7740  2 O 1.99-2.00
O: 0.0408 0.2835 0.0237  1 Hg 2.00
O: 0.2493 0.5865 0.4819  1 Hg 1.99
O: 0.2835 0.0408 0.5237  1 Hg 2.00
O: 0.4135 0.7507 0.0181  1 Hg 1.99
O: 0.5865 0.2493 0.9819  1 Hg 1.99
O: 0.7165 0.9592 0.4763  1 Hg 2.00
O: 0.7507 0.4135 0.5181  1 Hg 1.99
O: 0.9592 0.7165 0.9763  1 Hg 2.00


Most stable structure, least stable structure: x, w.


## w
Here is an optimized crystal structure of Rb5HgO4 from the Alexandria database. Energies are from PBE-GGA.

a b c (Å): 7.6964 7.6964 9.7249
angles (deg): 111.08 111.08 32.21
Closest atoms and distances in Å follow each position.
Sites, in units of the cell vectors:
Rb: 0.0000 0.0000 0.0000  4 O 2.90
Rb: 0.2898 0.2898 0.1730  3 O 2.84-2.95
Rb: 0.3429 0.3429 0.6406  4 O 2.74-2.86
Rb: 0.6571 0.6571 0.3594  4 O 2.74-2.86
Rb: 0.7102 0.7102 0.8270  3 O 2.84-2.95
Hg: 0.0000 0.0000 0.5000  2 O 2.00
O: 0.1434 0.1434 0.5456  1 Hg 2.00
O: 0.3579 0.3579 0.9364  6 Rb 2.80-2.95
O: 0.6421 0.6421 0.0636  6 Rb 2.80-2.95
O: 0.8566 0.8566 0.4544  1 Hg 2.00


## x
Here is an optimized crystal structure of Rb5HgO4 from the Alexandria database. Energies are from PBE-GGA.

a b c (Å): 8.5470 10.0233 7.1856
angles (deg): 90.00 90.00 90.00
Closest atoms and distances in Å follow each position.
Sites, in units of the cell vectors:
Rb: 0.0191 0.0406 0.2402  3 O 2.81-2.99
Rb: 0.0191 0.4594 0.2402  3 O 2.81-2.99
Rb: 0.2500 0.2500 0.7740  4 O 2.62-2.85
Rb: 0.4809 0.0406 0.2402  3 O 2.81-2.99
Rb: 0.4809 0.4594 0.2402  3 O 2.81-2.99
Rb: 0.5191 0.5406 0.7598  3 O 2.81-2.99
Rb: 0.5191 0.9594 0.7598  3 O 2.81-2.99
Rb: 0.7500 0.7500 0.2260  4 O 2.62-2.85
Rb: 0.9809 0.5406 0.7598  3 O 2.81-2.99
Rb: 0.9809 0.9594 0.7598  3 O 2.81-2.99
Hg: 0.2500 0.7500 0.4609  2 O 2.00
Hg: 0.7500 0.2500 0.5391  2 O 2.00
O: 0.0157 0.7500 0.4658  1 Hg 2.00
O: 0.2500 0.0268 0.9627  5 Rb 2.62-2.81
O: 0.2500 0.4732 0.9627  5 Rb 2.62-2.81
O: 0.4843 0.7500 0.4658  1 Hg 2.00
O: 0.5157 0.2500 0.5342  1 Hg 2.00
O: 0.7500 0.5268 0.0373  5 Rb 2.62-2.81
O: 0.7500 0.9732 0.0373  5 Rb 2.62-2.81
O: 0.9843 0.2500 0.5342  1 Hg 2.00


Most stable structure, least stable structure: w, x.


## w
Here is an optimized crystal structure of Rb6HgO2 from the Alexandria database. Energies are from PBE-GGA.

a b c (Å): 7.7042 7.7042 10.7572
angles (deg): 113.66 113.66 43.86
Closest atoms and distances in Å follow each position.
Sites, in units of the cell vectors:
Rb: 0.0128 0.0128 0.1665  2 O 2.74-2.76
Rb: 0.2994 0.2994 0.9441  3 O 2.84-2.95
Rb: 0.3031 0.3031 0.3474  1 O 2.71
Rb: 0.6969 0.6969 0.6526  1 O 2.71
Rb: 0.7006 0.7006 0.0559  3 O 2.84-2.95
Rb: 0.9872 0.9872 0.8335  2 O 2.74-2.76
Hg: 0.0000 0.0000 0.5000  6 Rb 3.67-3.86
O: 0.1659 0.1659 0.0780  6 Rb 2.71-2.95
O: 0.8341 0.8341 0.9220  6 Rb 2.71-2.95


## x
Here is an optimized crystal structure of Rb6HgO2 from the Alexandria database. Energies are from PBE-GGA.

a b c (Å): 7.5255 7.5255 8.1889
angles (deg): 90.00 90.00 120.00
Closest atoms and distances in Å follow each position.
Sites, in units of the cell vectors:
Rb: 0.0000 0.3952 0.1922  2 O 2.80
Rb: 0.0000 0.6048 0.8078  2 O 2.80
Rb: 0.3952 0.0000 0.1922  2 O 2.80
Rb: 0.3952 0.3952 0.8078  2 O 2.80
Rb: 0.6048 0.0000 0.8078  2 O 2.80
Rb: 0.6048 0.6048 0.1922  2 O 2.80
Hg: 0.0000 0.0000 0.5000  6 Rb 3.90
O: 0.3333 0.6667 0.0000  6 Rb 2.80
O: 0.6667 0.3333 0.0000  6 Rb 2.80


Most stable structure, least stable structure: x, w.


## w
Here is an optimized crystal structure of Re2HgO from the Alexandria database. Energies are from PBE-GGA.

a b c (Å): 6.1700 6.1700 6.1700
angles (deg): 90.00 90.00 90.00
Closest atoms and distances in Å follow each position.
Sites, in units of the cell vectors:
Re: 0.2500 0.2500 0.2500  4 O 2.67, 4 Hg 2.67
Re: 0.2500 0.2500 0.7500  4 O 2.67, 4 Hg 2.67
Re: 0.2500 0.7500 0.2500  4 O 2.67, 4 Hg 2.67
Re: 0.2500 0.7500 0.7500  4 O 2.67, 4 Hg 2.67
Re: 0.7500 0.2500 0.2500  4 O 2.67, 4 Hg 2.67
Re: 0.7500 0.2500 0.7500  4 O 2.67, 4 Hg 2.67
Re: 0.7500 0.7500 0.2500  4 O 2.67, 4 Hg 2.67
Re: 0.7500 0.7500 0.7500  4 O 2.67, 4 Hg 2.67
Hg: 0.0000 0.0000 0.0000  8 Re 2.67
Hg: 0.0000 0.5000 0.5000  8 Re 2.67
Hg: 0.5000 0.0000 0.5000  8 Re 2.67
Hg: 0.5000 0.5000 0.0000  8 Re 2.67
O: 0.0000 0.0000 0.5000  8 Re 2.67
O: 0.0000 0.5000 0.0000  8 Re 2.67
O: 0.5000 0.0000 0.0000  8 Re 2.67
O: 0.5000 0.5000 0.5000  8 Re 2.67


## x
Here is an optimized crystal structure of Re2HgO from the Alexandria database. Energies are from PBE-GGA.

a b c (Å): 4.7925 4.7925 13.1869
angles (deg): 90.00 90.00 90.00
Closest atoms and distances in Å follow each position.
Sites, in units of the cell vectors:
Re: 0.0000 0.0000 0.0000  2 O 2.04
Re: 0.0000 0.5000 0.0000  2 O 2.04
Re: 0.2500 0.2500 0.7500  2 O 2.04
Re: 0.2500 0.7500 0.2500  2 O 2.04
Re: 0.5000 0.0000 0.5000  2 O 2.04
Re: 0.5000 0.5000 0.5000  2 O 2.04
Re: 0.7500 0.2500 0.7500  2 O 2.04
Re: 0.7500 0.7500 0.2500  2 O 2.04
Hg: 0.0000 0.2500 0.3750  8 Re 3.15, 4 O 3.39
Hg: 0.0000 0.7500 0.6250  8 Re 3.15, 4 O 3.39
Hg: 0.5000 0.2500 0.1250  8 Re 3.15, 4 O 3.39
Hg: 0.5000 0.7500 0.8750  8 Re 3.15, 4 O 3.39
O: 0.0000 0.2500 0.8750  4 Re 2.04
O: 0.0000 0.7500 0.1250  4 Re 2.04
O: 0.5000 0.2500 0.6250  4 Re 2.04
O: 0.5000 0.7500 0.3750  4 Re 2.04


Most stable structure, least stable structure: x, w.


## w
Here is an optimized crystal structure of Re3HgO from the Alexandria database. Energies are from PBE-GGA.

a b c (Å): 4.1712 4.1712 4.1712
angles (deg): 90.00 90.00 90.00
Closest atoms and distances in Å follow each position.
Sites, in units of the cell vectors:
Re: 0.0000 0.0000 0.5000  2 O 2.09
Re: 0.0000 0.5000 0.0000  2 O 2.09
Re: 0.5000 0.0000 0.0000  2 O 2.09
Hg: 0.5000 0.5000 0.5000  12 Re 2.95
O: 0.0000 0.0000 0.0000  6 Re 2.09


## x
Here is an optimized crystal structure of Re3HgO from the Alexandria database. Energies are from PBE-GGA.

a b c (Å): 5.2005 5.2005 5.2005
angles (deg): 90.00 90.00 90.00
Closest atoms and distances in Å follow each position.
Sites, in units of the cell vectors:
Re: 0.0000 0.0000 0.5000  2 Hg 2.60
Re: 0.0000 0.5000 0.0000  2 Hg 2.60
Re: 0.5000 0.0000 0.0000  2 Hg 2.60
Hg: 0.0000 0.0000 0.0000  6 Re 2.60
O: 0.5000 0.5000 0.5000  12 Re 3.68


Most stable structure, least stable structure: w, x.